The following is a DFT calculation (PBE-GGA) of a geometry-optimized Rb2BeAs2Pb structure.

Calculated values
* density: 4.85 g/cm3
* ΔE_f: -0.184 eV/atom
* V: 368 Å³/cell

Cell lengths 9.1301, 9.1301, 9.1301 Å; angles 134.05, 64.78, 136.96 degrees
Positions (direct):
Rb: 0.1751 0.2352 0.4103
Rb: 0.3249 0.7352 0.0601
Rb: 0.6751 0.2648 0.9399
Rb: 0.8249 0.7648 0.5897
Be: 0.2500 0.2500 0.0000
Be: 0.7500 0.7500 0.0000
As: 0.0791 0.8179 0.8970
As: 0.4209 0.3179 0.7388
As: 0.5791 0.6821 0.2612
As: 0.9209 0.1821 0.1030
Pb: 0.2500 0.7500 0.5000
Pb: 0.7500 0.2500 0.5000

The following is a DFT calculation (PBE-GGA) of a geometry-optimized BeAsRu2Pb structure.

Calculated values
* density: 9.02 g/cm3
* ΔE_f: 0.674 eV/atom
* V: 91 Å³/cell

Cell lengths 4.6721, 4.6721, 4.1594 Å; angles 90.00, 90.00, 90.00 degrees
Positions (direct):
Be: 0.0000 0.0000 0.0000
As: 0.0000 0.0000 0.5000
Ru: 0.0000 0.5000 0.5000
Ru: 0.5000 0.0000 0.5000
Pb: 0.5000 0.5000 0.0000

The following is a DFT calculation (PBE-GGA) of a geometry-optimized BeAs3Pd structure.

Calculated values
* density: 4.89 g/cm3
* energy relative to the lowest polymorph listed for this composition: 0.538 eV per atom
* ΔE_f: 1.001 eV/atom
* V: 115 Å³/cell

Cell lengths 4.8694, 4.8694, 4.8694 Å; angles 90.00, 90.00, 90.00 degrees
Positions (direct):
Be: 0.0000 0.0000 0.0000
As: 0.0000 0.5000 0.5000
As: 0.5000 0.0000 0.5000
As: 0.5000 0.5000 0.0000
Pd: 0.5000 0.5000 0.5000